# Be2TcPt, optimized geometry, DFT GGA-PBE
# * formation energy from the elements: -193 meV/atom
# * magnetic moment: 0.0 μB/cell
data_Be2TcPt
_chemical_formula_sum 'Be4 Tc2 Pt2'
_cell_length_a 5.464
_cell_length_b 7.421
_cell_length_c 2.613
_cell_angle_alpha 90.00
_cell_angle_beta 114.04
_cell_angle_gamma 90.00
_space_group_name_H-M_alt 'C 1 2/m 1'
_space_group_IT_number 12
_space_group_name_Hall '-C 2y'
loop_
_atom_site_label
_atom_site_type_symbol
_atom_site_fract_x
_atom_site_fract_y
_atom_site_fract_z
Be1 Be 0.250 0.250 0.000
Tc1 Tc 0.000 0.000 0.500
Pt1 Pt 0.000 0.500 0.500